Entry 1:
Computed, not measured: a relaxed Pr3AsP2Rh9 crystal at the GGA-PBE level of DFT.

Unit cell a=6.154 b=6.154 c=8.671 alpha=90.00 beta=90.00 gamma=120.00
Sites, in units of the cell vectors:
Pr1 0.000 0.000 0.000
Pr2 0.333 0.667 0.666
Pr3 0.667 0.333 0.334
As1 0.000 0.000 0.500
P1 0.333 0.667 0.166
P2 0.667 0.333 0.834
Rh1 0.000 0.500 0.000
Rh2 0.152 0.305 0.289
Rh3 0.152 0.848 0.289
Rh4 0.305 0.152 0.711
Rh5 0.500 0.000 0.000
Rh6 0.500 0.500 0.000
Rh7 0.695 0.848 0.289
Rh8 0.848 0.152 0.711
Rh9 0.848 0.695 0.711

crystal system: trigonal
formation energy: -10.0 eV per formula unit



Entry 2:
Computed, not measured: a relaxed ErTe3 crystal at the GGA-PBE level of DFT.

Unit cell a=6.060 b=6.060 c=6.060 alpha=138.20 beta=74.52 gamma=121.43
Sites, in units of the cell vectors:
Er1 0.000 0.000 0.000
Te1 0.360 0.860 0.500
Te2 0.567 0.257 0.310
Te3 0.947 0.257 0.690

formation energy from raw total energies: -262.6 kJ/mol of formula units
crystal system: orthorhombic



Entry 3:
Computed, not measured: a relaxed TaMnAu2C crystal at the GGA-PBE level of DFT.

Unit cell a=4.791 b=4.791 c=4.407 alpha=90.00 beta=90.00 gamma=90.00
Sites, in units of the cell vectors:
Ta1 0.000 0.000 0.000
Mn1 0.000 0.000 0.500
Au1 0.000 0.500 0.500
Au2 0.500 0.000 0.500
C1 0.500 0.500 0.000

crystal system: tetragonal
formation energy: 10.8 eV per formula unit



Entry 4:
Computed, not measured: a relaxed Ca2TbTmS4 crystal at the GGA-PBE level of DFT.

Unit cell a=6.800 b=3.927 c=6.910 alpha=90.00 beta=109.17 gamma=90.00
Sites, in units of the cell vectors:
Ca1 0.000 0.000 0.000
Ca2 0.500 0.500 0.000
Tb1 0.000 0.500 0.500
Tm1 0.500 0.000 0.500
S1 0.252 0.000 0.744
S2 0.256 0.500 0.258
S3 0.744 0.500 0.742
S4 0.748 0.000 0.256

formation energy from raw total energies: -1577.7 kJ/mol of formula units
crystal system: monoclinic



Entry 5:
Computed, not measured: a relaxed AlB2Pt crystal at the GGA-PBE level of DFT.

Unit cell a=5.855 b=5.855 c=5.855 alpha=129.00 beta=129.00 gamma=75.02
Sites, in units of the cell vectors:
Al1 0.000 0.000 0.000
Al2 0.750 0.250 0.500
B1 0.157 0.625 0.032
B2 0.375 0.407 0.532
B3 0.593 0.125 0.968
B4 0.875 0.843 0.468
Pt1 0.250 0.750 0.500
Pt2 0.500 0.500 0.000

crystal system: tetragonal
formation energy: 1.6 eV per formula unit



Entry 6:
Computed, not measured: a relaxed BiSbTe2O crystal at the GGA-PBE level of DFT.

Unit cell a=4.980 b=4.980 c=4.887 alpha=90.00 beta=90.00 gamma=90.00
Sites, in units of the cell vectors:
Bi1 0.000 0.000 0.000
Sb1 0.500 0.500 0.000
Te1 0.000 0.500 0.500
Te2 0.500 0.000 0.500
O1 0.500 0.500 0.500

formation energy from raw total energies: 30.1 kJ/mol of formula units
crystal system: tetragonal
polymorph energy (0 for the lowest one): 0.000 eV per formula unit



Entry 7:
Computed, not measured: a relaxed LiTm3Sc2Se6 crystal at the GGA-PBE level of DFT.

Unit cell a=8.827 b=8.827 c=7.887 alpha=102.56 beta=102.56 gamma=25.90
Sites, in units of the cell vectors:
Li1 0.000 0.000 0.000
Tm1 0.000 0.000 0.500
Tm2 0.335 0.335 0.170
Tm3 0.665 0.665 0.830
Sc1 0.330 0.330 0.655
Sc2 0.670 0.670 0.345
Se1 0.164 0.164 0.089
Se2 0.167 0.167 0.580
Se3 0.496 0.496 0.757
Se4 0.504 0.504 0.243
Se5 0.833 0.833 0.420
Se6 0.836 0.836 0.911

formation energy from raw total energies: -1926.2 kJ/mol of formula units
crystal system: monoclinic



Entry 8:
Computed, not measured: a relaxed In2RuPt crystal at the GGA-PBE level of DFT.

Unit cell a=5.306 b=5.306 c=4.706 alpha=107.19 beta=107.19 gamma=34.51
Sites, in units of the cell vectors:
In1 0.000 0.000 0.000
In2 0.228 0.228 0.609
Ru1 0.485 0.485 0.501
Pt1 0.748 0.748 0.120

crystal system: monoclinic
formation energy: -0.4 eV per formula unit



Entry 9:
Computed, not measured: a relaxed YScSi2O7 crystal at the GGA-PBE level of DFT.

Unit cell a=5.544 b=5.544 c=4.734 alpha=97.14 beta=97.14 gamma=104.87
Sites, in units of the cell vectors:
Y1 0.000 0.000 0.000
Sc1 0.614 0.386 0.000
Si1 0.078 0.483 0.588
Si2 0.517 0.922 0.412
O1 0.242 0.330 0.775
O2 0.261 0.739 0.500
O3 0.405 0.103 0.210
O4 0.670 0.758 0.225
O5 0.685 0.083 0.718
O6 0.897 0.595 0.790
O7 0.917 0.315 0.282

formation energy from raw total energies: -3387.6 kJ/mol of formula units
crystal system: monoclinic



Entry 10:
Computed, not measured: a relaxed Ag3BAu crystal at the GGA-PBE level of DFT.

Unit cell a=5.175 b=5.175 c=5.175 alpha=90.00 beta=90.00 gamma=90.00
Sites, in units of the cell vectors:
Ag1 0.000 0.000 0.500
Ag2 0.000 0.500 0.000
Ag3 0.500 0.000 0.000
B1 0.500 0.500 0.500
Au1 0.000 0.000 0.000

crystal system: cubic
polymorph energy (0 for the lowest one): 5.469 eV per formula unit
formation energy: 7.7 eV per formula unit



Entry 11:
Computed, not measured: a relaxed ZrSc2Zn3 crystal at the GGA-PBE level of DFT.

Unit cell a=4.721 b=4.721 c=5.820 alpha=90.00 beta=90.00 gamma=120.00
Sites, in units of the cell vectors:
Zr1 0.000 0.000 0.000
Sc1 0.333 0.667 0.667
Sc2 0.667 0.333 0.333
Zn1 0.000 0.000 0.500
Zn2 0.333 0.667 0.168
Zn3 0.667 0.333 0.832

crystal system: trigonal
polymorph energy (0 for the lowest one): 0.045 eV per formula unit
formation energy: -2.0 eV per formula unit



Entry 12:
Computed, not measured: a relaxed La8RuPtRh2 crystal at the GGA-PBE level of DFT.

Unit cell a=6.769 b=8.585 c=6.855 alpha=90.00 beta=90.01 gamma=90.00
Sites, in units of the cell vectors:
La1 0.227 0.000 0.338
La2 0.235 0.500 0.332
La3 0.270 0.259 0.833
La4 0.270 0.741 0.833
La5 0.730 0.259 0.167
La6 0.730 0.741 0.167
La7 0.765 0.500 0.668
La8 0.773 0.000 0.662
Ru1 0.500 0.500 0.000
Pt1 0.500 0.000 0.000
Rh1 0.000 0.250 0.500
Rh2 0.000 0.750 0.500

crystal system: monoclinic
formation energy: -6.6 eV per formula unit



Number 1: uncorrected energy -7.064 eV per atom. Number 2: uncorrected energy -4.177 eV per atom. Number 3: uncorrected energy -5.197 eV per atom. Number 4: uncorrected energy -5.746 eV per atom. Number 5: uncorrected energy -5.381 eV per atom. Number 6: uncorrected energy -3.787 eV per atom. Number 7: uncorrected energy -5.739 eV per atom. Number 8: uncorrected energy -5.291 eV per atom. Number 9: uncorrected energy -8.496 eV per atom. Number 10: uncorrected energy -2.160 eV per atom. Number 11: uncorrected energy -4.499 eV per atom. Number 12: uncorrected energy -6.334 eV per atom.